# 1
Crystalline NaAcLaCd at its relaxed geometry, computed with PBE-GGA.

```
NaAcLaCd
1.0
5.772 0.000 0.000
2.886 4.999 0.000
2.886 1.666 4.713
Na La Ac Cd
1 1 1 1
Direct
0.250 0.250 0.250
0.000 0.000 0.000
0.500 0.500 0.500
0.750 0.750 0.750
```

Results
Formation enthalpy at 0 K (eV/atom): -0.018
Volume (Å³ per atom): 33.99

***

# 2
Crystalline Ti2Ag2Te7 at its relaxed geometry, computed with PBE-GGA.

```
Ti2Ag2Te7
1.0
3.830 0.000 0.000
1.915 9.356 0.332
1.915 4.728 8.080
Te Ti Ag
7 2 2
Direct
0.408 0.704 0.479
0.824 0.057 0.295
0.176 0.705 0.943
0.882 0.398 0.837
0.592 0.521 0.296
0.500 0.011 0.989
0.118 0.163 0.602
0.500 0.325 0.675
0.000 0.792 0.208
0.255 0.334 0.156
0.745 0.844 0.666
```

Results
Uncorrected formation energy (eV/atom): -0.257
Volume (Å³ per atom): 25.78

***

# 3
Crystalline PrDyGa at its relaxed geometry, computed with PBE-GGA.

```
PrDyGa
1.0
4.946 0.000 0.000
2.473 4.286 0.000
0.000 0.000 8.735
Pr Dy Ga
2 2 2
Direct
0.155 0.561 0.011
0.155 0.561 0.568
0.822 0.227 0.789
0.488 0.894 0.289
0.822 0.227 0.437
0.821 0.227 0.141
```

Results
Formation enthalpy at 0 K (eV/atom): -0.120
Volume (Å³ per atom): 30.86

***

# 4
Crystalline K3HfTc at its relaxed geometry, computed with PBE-GGA.

```
K3HfTc
1.0
5.869 0.000 0.000
0.000 5.869 0.000
0.000 0.000 5.869
K Hf Tc
3 1 1
Direct
0.000 0.500 0.000
0.000 0.000 0.500
0.500 0.000 0.000
0.500 0.500 0.500
0.000 0.000 0.000
```

Results
Formation enthalpy at 0 K (eV/atom): 2.233
Volume (Å³ per atom): 40.42

***

# 5
Crystalline HfBi2Ru2 at its relaxed geometry, computed with PBE-GGA.

```
HfBi2Ru2
1.0
4.913 0.000 0.000
0.000 4.913 0.000
0.000 0.000 5.665
Bi Ru Hf
2 2 1
Direct
0.000 0.000 0.500
0.000 0.000 0.000
0.500 0.000 0.000
0.000 0.500 0.000
0.500 0.500 0.500
```

Results
Formation enthalpy at 0 K (eV/atom): 1.693
Volume (Å³ per atom): 27.34

***

# 6
Crystalline NaCaCuS2 at its relaxed geometry, computed with PBE-GGA.

```
NaCaCuS2
1.0
5.055 0.000 0.000
0.000 4.400 0.000
0.000 0.000 5.055
Ca Na Cu S
1 1 1 2
Direct
0.500 0.500 0.500
0.000 0.000 0.000
0.000 0.500 0.000
0.000 0.000 0.500
0.500 0.000 0.000
```

Results
Uncorrected formation energy (eV/atom): -0.093
Volume (Å³ per atom): 22.49